# 1
# PBE Hf2BiB, optimized geometry
# Calculated volume: 19.4 Å³ per atom
# Crystal system: cubic
# Distance to the lowest polymorph of the same formula: 1078.4 meV per atom
# Total moment: 0.0 μB/f.u.
# DFT formation energy: 0.617 eV per atom
data_Hf2BiB
_chemical_formula_sum 'Hf8 Bi4 B4'
_symmetry_space_group_name_H-M 'F m -3 m'
_symmetry_Int_Tables_number 225
_symmetry_space_group_name_Hall '-F 4 2 3'
_cell_length_a 6.767
_cell_length_b 6.767
_cell_length_c 6.767
_cell_angle_alpha 90.00
_cell_angle_beta 90.00
_cell_angle_gamma 90.00
loop_
_atom_site_label
_atom_site_type_symbol
_atom_site_fract_x
_atom_site_fract_y
_atom_site_fract_z
_atom_site_occupancy
Hf1 Hf 0.250 0.250 0.250 1
Bi1 Bi 0.000 0.000 0.000 1
B1 B 0.000 0.000 0.500 1


# 2
# PBE Hf3BiB, optimized geometry
# Calculated volume: 30.2 Å³ per atom
# Crystal system: cubic
# Distance to the lowest polymorph of the same formula: 2604.3 meV per atom
# Total moment: 0.0 μB/f.u.
# DFT formation energy: 2.283 eV per atom
data_Hf3BiB
_chemical_formula_sum 'Hf3 Bi1 B1'
_symmetry_space_group_name_H-M 'P m -3 m'
_symmetry_Int_Tables_number 221
_symmetry_space_group_name_Hall '-P 4 2 3'
_cell_length_a 5.325
_cell_length_b 5.325
_cell_length_c 5.325
_cell_angle_alpha 90.00
_cell_angle_beta 90.00
_cell_angle_gamma 90.00
loop_
_atom_site_label
_atom_site_type_symbol
_atom_site_fract_x
_atom_site_fract_y
_atom_site_fract_z
_atom_site_occupancy
Hf1 Hf 0.000 0.000 0.500 1
Bi1 Bi 0.000 0.000 0.000 1
B1 B 0.500 0.500 0.500 1


# 3
# PBE HfBiB3, optimized geometry
# Calculated volume: 18.4 Å³ per atom
# Crystal system: cubic
# Distance to the lowest polymorph of the same formula: 891.4 meV per atom
# Total moment: 0.0 μB/f.u.
# DFT formation energy: 2.357 eV per atom
data_HfBiB3
_chemical_formula_sum 'Hf1 Bi1 B3'
_symmetry_space_group_name_H-M 'P m -3 m'
_symmetry_Int_Tables_number 221
_symmetry_space_group_name_Hall '-P 4 2 3'
_cell_length_a 4.517
_cell_length_b 4.517
_cell_length_c 4.517
_cell_angle_alpha 90.00
_cell_angle_beta 90.00
_cell_angle_gamma 90.00
loop_
_atom_site_label
_atom_site_type_symbol
_atom_site_fract_x
_atom_site_fract_y
_atom_site_fract_z
_atom_site_occupancy
Hf1 Hf 0.000 0.000 0.000 1
Bi1 Bi 0.500 0.500 0.500 1
B1 B 0.000 0.500 0.500 1


# 4
# PBE Hf2BiB, optimized geometry
# Calculated volume: 20.3 Å³ per atom
# Crystal system: cubic
# Distance to the lowest polymorph of the same formula: 1483.0 meV per atom
# Total moment: 0.8 μB/f.u.
# DFT formation energy: 1.021 eV per atom
data_Hf2BiB
_chemical_formula_sum 'Hf8 Bi4 B4'
_symmetry_space_group_name_H-M 'F -4 3 m'
_symmetry_Int_Tables_number 216
_symmetry_space_group_name_Hall 'F -4 2 3'
_cell_length_a 6.871
_cell_length_b 6.871
_cell_length_c 6.871
_cell_angle_alpha 90.00
_cell_angle_beta 90.00
_cell_angle_gamma 90.00
loop_
_atom_site_label
_atom_site_type_symbol
_atom_site_fract_x
_atom_site_fract_y
_atom_site_fract_z
_atom_site_occupancy
Hf1 Hf 0.000 0.000 0.000 1
Hf2 Hf 0.250 0.250 0.250 1
Bi1 Bi 0.000 0.000 0.500 1
B1 B 0.250 0.250 0.750 1


# 5
# PBE Hf2BiB, optimized geometry
# Calculated volume: 20.3 Å³ per atom
# Crystal system: tetragonal
# Distance to the lowest polymorph of the same formula: 520.8 meV per atom
# Total moment: 0.0 μB/f.u.
# DFT formation energy: 0.059 eV per atom
data_Hf2BiB
_chemical_formula_sum 'Hf8 Bi4 B4'
_symmetry_space_group_name_H-M 'I -4 2 d'
_symmetry_Int_Tables_number 122
_symmetry_space_group_name_Hall 'I -4 2bw'
_cell_length_a 7.134
_cell_length_b 7.134
_cell_length_c 6.385
_cell_angle_alpha 90.00
_cell_angle_beta 90.00
_cell_angle_gamma 90.00
loop_
_atom_site_label
_atom_site_type_symbol
_atom_site_fract_x
_atom_site_fract_y
_atom_site_fract_z
_atom_site_occupancy
Hf1 Hf 0.171 0.750 0.125 1
Bi1 Bi 0.000 0.000 0.500 1
B1 B 0.000 0.000 0.000 1


# 6
# PBE Hf3BiB, optimized geometry
# Calculated volume: 20.4 Å³ per atom
# Crystal system: monoclinic
# Distance to the lowest polymorph of the same formula: 0.0 meV per atom
# Total moment: 0.0 μB/f.u.
# DFT formation energy: -0.321 eV per atom
data_Hf3BiB
_chemical_formula_sum 'Hf6 Bi2 B2'
_symmetry_space_group_name_H-M 'P 1 21/m 1'
_symmetry_Int_Tables_number 11
_cell_length_a 6.540
_cell_length_b 3.616
_cell_length_c 8.925
_cell_angle_alpha 90.00
_cell_angle_beta 105.01
_cell_angle_gamma 90.00
loop_
_symmetry_equiv_pos_as_xyz
'x,y,z'
'-x,-y,-z'
'-x,y+1/2,-z'
'x,-y+1/2,z'
loop_
_atom_site_label
_atom_site_type_symbol
_atom_site_fract_x
_atom_site_fract_y
_atom_site_fract_z
_atom_site_occupancy
Hf1 Hf 0.050 0.250 0.368 1
Hf2 Hf 0.308 0.250 0.902 1
Hf3 Hf 0.425 0.750 0.645 1
Bi1 Bi 0.223 0.750 0.156 1
B1 B 0.193 0.250 0.633 1


# 7
# PBE Hf3BiB, optimized geometry
# Calculated volume: 20.1 Å³ per atom
# Crystal system: cubic
# Distance to the lowest polymorph of the same formula: 121.4 meV per atom
# Total moment: 0.0 μB/f.u.
# DFT formation energy: -0.199 eV per atom
data_Hf3BiB
_chemical_formula_sum 'Hf3 Bi1 B1'
_symmetry_space_group_name_H-M 'P m -3 m'
_symmetry_Int_Tables_number 221
_symmetry_space_group_name_Hall '-P 4 2 3'
_cell_length_a 4.651
_cell_length_b 4.651
_cell_length_c 4.651
_cell_angle_alpha 90.00
_cell_angle_beta 90.00
_cell_angle_gamma 90.00
loop_
_atom_site_label
_atom_site_type_symbol
_atom_site_fract_x
_atom_site_fract_y
_atom_site_fract_z
_atom_site_occupancy
Hf1 Hf 0.000 0.000 0.500 1
Bi1 Bi 0.500 0.500 0.500 1
B1 B 0.000 0.000 0.000 1


# 8
# PBE Hf6Bi3B, optimized geometry
# Calculated volume: 22.7 Å³ per atom
# Crystal system: monoclinic
# Total moment: 0.0 μB/f.u.
# DFT formation energy: -0.100 eV per atom
data_Hf6Bi3B
_chemical_formula_sum 'Hf12 Bi6 B2'
_symmetry_space_group_name_H-M 'P 1 21/c 1'
_symmetry_Int_Tables_number 14
_cell_length_a 5.794
_cell_length_b 7.683
_cell_length_c 11.161
_cell_angle_alpha 90.00
_cell_angle_beta 113.69
_cell_angle_gamma 90.00
loop_
_symmetry_equiv_pos_as_xyz
'x,y,z'
'-x,-y,-z'
'-x,y+1/2,-z+1/2'
'x,-y+1/2,z+1/2'
loop_
_atom_site_label
_atom_site_type_symbol
_atom_site_fract_x
_atom_site_fract_y
_atom_site_fract_z
_atom_site_occupancy
Hf1 Hf 0.020 0.212 0.432 1
Hf2 Hf 0.305 0.640 0.435 1
Hf3 Hf 0.327 0.009 0.206 1
Bi1 Bi 0.148 0.127 0.723 1
Bi2 Bi 0.500 0.000 0.500 1
B1 B 0.000 0.000 0.000 1


# 9
# PBE KHf2BiB, optimized geometry
# Calculated volume: 23.8 Å³ per atom
# Crystal system: tetragonal
# Total moment: 0.0 μB/f.u.
# DFT formation energy: 2.363 eV per atom
data_KHf2BiB
_chemical_formula_sum 'K1 Hf2 Bi1 B1'
_symmetry_space_group_name_H-M 'P 4/m m m'
_symmetry_Int_Tables_number 123
_symmetry_space_group_name_Hall '-P 4 2'
_cell_length_a 5.241
_cell_length_b 5.241
_cell_length_c 4.327
_cell_angle_alpha 90.00
_cell_angle_beta 90.00
_cell_angle_gamma 90.00
loop_
_atom_site_label
_atom_site_type_symbol
_atom_site_fract_x
_atom_site_fract_y
_atom_site_fract_z
_atom_site_occupancy
K1 K 0.000 0.000 0.000 1
Hf1 Hf 0.000 0.500 0.000 1
Bi1 Bi 0.500 0.500 0.500 1
B1 B 0.000 0.000 0.500 1


# 10
# PBE HfNbBiB2, optimized geometry
# Calculated volume: 22.1 Å³ per atom
# Crystal system: tetragonal
# Total moment: 0.5 μB/f.u.
# DFT formation energy: 2.293 eV per atom
data_HfNbBiB2
_chemical_formula_sum 'Hf1 Nb1 Bi1 B2'
_symmetry_space_group_name_H-M 'P 4/m m m'
_symmetry_Int_Tables_number 123
_symmetry_space_group_name_Hall '-P 4 2'
_cell_length_a 4.534
_cell_length_b 4.534
_cell_length_c 5.385
_cell_angle_alpha 90.00
_cell_angle_beta 90.00
_cell_angle_gamma 90.00
loop_
_atom_site_label
_atom_site_type_symbol
_atom_site_fract_x
_atom_site_fract_y
_atom_site_fract_z
_atom_site_occupancy
Hf1 Hf 0.000 0.000 0.000 1
Nb1 Nb 0.500 0.500 0.000 1
Bi1 Bi 0.500 0.500 0.500 1
B1 B 0.000 0.500 0.500 1


# 11
# PBE HfBiBPb2, optimized geometry
# Calculated volume: 32.0 Å³ per atom
# Crystal system: tetragonal
# Total moment: 0.0 μB/f.u.
# DFT formation energy: 1.589 eV per atom
data_HfBiBPb2
_chemical_formula_sum 'Hf1 Bi1 B1 Pb2'
_symmetry_space_group_name_H-M 'P 4/m m m'
_symmetry_Int_Tables_number 123
_symmetry_space_group_name_Hall '-P 4 2'
_cell_length_a 5.985
_cell_length_b 5.985
_cell_length_c 4.470
_cell_angle_alpha 90.00
_cell_angle_beta 90.00
_cell_angle_gamma 90.00
loop_
_atom_site_label
_atom_site_type_symbol
_atom_site_fract_x
_atom_site_fract_y
_atom_site_fract_z
_atom_site_occupancy
Hf1 Hf 0.000 0.000 0.000 1
Bi1 Bi 0.500 0.500 0.500 1
B1 B 0.500 0.500 0.000 1
Pb1 Pb 0.000 0.500 0.500 1


# 12
# PBE Hf2BiBPt, optimized geometry
# Calculated volume: 28.8 Å³ per atom
# Crystal system: tetragonal
# Distance to the lowest polymorph of the same formula: 381.5 meV per atom
# Total moment: 0.0 μB/f.u.
# DFT formation energy: 2.091 eV per atom
data_Hf2BiBPt
_chemical_formula_sum 'Hf2 Bi1 B1 Pt1'
_symmetry_space_group_name_H-M 'P 4/m m m'
_symmetry_Int_Tables_number 123
_symmetry_space_group_name_Hall '-P 4 2'
_cell_length_a 5.390
_cell_length_b 5.390
_cell_length_c 4.957
_cell_angle_alpha 90.00
_cell_angle_beta 90.00
_cell_angle_gamma 90.00
loop_
_atom_site_label
_atom_site_type_symbol
_atom_site_fract_x
_atom_site_fract_y
_atom_site_fract_z
_atom_site_occupancy
Hf1 Hf 0.000 0.500 0.000 1
Bi1 Bi 0.000 0.000 0.000 1
B1 B 0.500 0.500 0.500 1
Pt1 Pt 0.000 0.000 0.500 1